Record 1
Here is a geometry-optimized SrCd4Hg2 structure from Alexandria via LeMat-Bulk. Energies are from PBE-GGA.

## Properties
E_tot, eV/cell: -14.828
Formation enthalpy at 0 K, eV per formula unit: -1.47
Symmetry: P4_2/mnm (136)
Calculated volume, Å³ per cell: 364.48
Total moment, μB/atom: 0.000

The structure in CIF format:
```
data_SrCd4Hg2
_chemical_formula_sum 'Sr2 Cd8 Hg4'
_symmetry_space_group_name_H-M 'P 1'
_symmetry_Int_Tables_number 1
_cell_length_a 4.8191
_cell_length_b 8.6966
_cell_length_c 8.6966
_cell_angle_alpha 90.00
_cell_angle_beta 90.00
_cell_angle_gamma 90.00
loop_
_symmetry_equiv_pos_as_xyz
'x,y,z'
loop_
_atom_site_label
_atom_site_type_symbol
_atom_site_fract_x
_atom_site_fract_y
_atom_site_fract_z
Cd1 Cd 0.5000 0.3982 0.8546
Cd2 Cd 0.5000 0.6018 0.1454
Cd3 Cd 0.0000 0.1018 0.3546
Cd4 Cd 0.0000 0.6454 0.8982
Cd5 Cd 0.0000 0.8982 0.6454
Cd6 Cd 0.5000 0.8546 0.3982
Cd7 Cd 0.0000 0.3546 0.1018
Cd8 Cd 0.5000 0.1454 0.6018
Hg1 Hg 0.0000 0.8086 0.1914
Hg2 Hg 0.0000 0.1914 0.8086
Hg3 Hg 0.5000 0.3086 0.3086
Hg4 Hg 0.5000 0.6914 0.6914
Sr1 Sr 0.0000 0.5000 0.5000
Sr2 Sr 0.5000 0.0000 0.0000
```

Record 2
Here is a geometry-optimized SrCd3Hg structure from Alexandria via LeMat-Bulk. Energies are from PBE-GGA.

## Properties
E_tot, eV/cell: -6.054
Formation enthalpy at 0 K, eV per formula unit: -1.33
Symmetry: Cm (8)
Calculated volume, Å³ per cell: 133.33
Total moment, μB/atom: 0.000

The structure in CIF format:
```
data_SrCd3Hg
_chemical_formula_sum 'Sr1 Cd3 Hg1'
_symmetry_space_group_name_H-M 'P 1'
_symmetry_Int_Tables_number 1
_cell_length_a 5.6693
_cell_length_b 5.6693
_cell_length_c 5.3969
_cell_angle_alpha 61.25
_cell_angle_beta 61.25
_cell_angle_gamma 77.10
loop_
_symmetry_equiv_pos_as_xyz
'x,y,z'
loop_
_atom_site_label
_atom_site_type_symbol
_atom_site_fract_x
_atom_site_fract_y
_atom_site_fract_z
Sr1 Sr 0.5964 0.5964 0.8035
Cd1 Cd 0.8988 0.8988 0.9978
Cd2 Cd 0.3001 0.9008 0.2994
Cd3 Cd 0.9008 0.3001 0.2994
Hg1 Hg 0.3050 0.3050 0.5975
```